Record 1
Density functional theory data (PBE) for crystalline Ti5Mn2Pd12 at its relaxed geometry.

Cell and atoms, written as extended XYZ:
```
19
Lattice="7.3780 -2.6624 0.0000 7.3780 2.6624 0.0000 -2.6629 0.0000 8.1631" Properties=species:S:1:pos:R:3 pbc="T T T"
Ti 0.0000 0.0000 0.0000
Ti 4.4561 0.0000 1.4531
Ti 3.5706 0.0000 5.3061
Ti 8.5224 0.0000 2.8570
Ti 7.6370 0.0000 6.7100
Mn 6.0465 0.9742 4.0816
Mn 6.0465 -0.9742 4.0816
Pd 3.4735 1.3819 3.2586
Pd -0.9033 0.0000 6.2454
Pd 2.4653 1.3387 7.4455
Pd 9.6278 1.3387 0.7176
Pd 8.6195 1.3819 4.9045
Pd 6.8663 0.0000 1.1963
Pd 5.2268 0.0000 6.9668
Pd 3.4735 -1.3819 3.2586
Pd 2.4653 -1.3387 7.4455
Pd 9.6278 -1.3387 0.7176
Pd 12.9964 0.0000 1.9177
Pd 8.6195 -1.3819 4.9045
```

## Properties
- Calculated formation energy: -0.179 eV per atom
- Calculated total energy: -0.478 Ry per atom

Record 2
Density functional theory data (PBE) for crystalline LaTb4Dy5 at its relaxed geometry.

Cell and atoms, written as extended XYZ:
```
10
Lattice="-5.1284 5.1284 3.1367 5.1284 -5.1284 3.1367 5.1284 5.1284 -3.1367" Properties=species:S:1:pos:R:3 pbc="T T T"
La 0.0000 0.0000 0.0000
Tb 5.6360 -1.5334 1.6724
Tb 4.6208 1.5334 1.6724
Tb -1.5334 4.6208 1.6724
Tb 1.5334 5.6360 1.6724
Dy 3.6147 2.7421 -1.4172
Dy 2.3863 -1.5137 1.7194
Dy 2.7421 6.6421 -1.4172
Dy 1.5137 2.3863 1.7194
Dy 0.0000 0.0000 3.3932
```

## Properties
- Calculated formation energy: 0.296 eV per atom
- Distance to the lowest polymorph of the same formula: 2.28 eV/f.u.
- Calculated total energy: -0.320 Ry per atom

Record 3
Density functional theory data (PBE) for crystalline Ce2BeGa3Au4 at its relaxed geometry.

Cell and atoms, written as extended XYZ:
```
10
Lattice="4.4020 0.0000 0.0000 0.0000 4.4020 0.0000 0.0000 0.0000 10.2938" Properties=species:S:1:pos:R:3 pbc="T T T"
Ce 0.0000 2.2010 2.4853
Ce 2.2010 0.0000 7.8086
Be 2.2010 2.2010 0.0000
Ga 0.0000 0.0000 0.0000
Ga 0.0000 2.2010 6.5730
Ga 2.2010 0.0000 3.7208
Au 0.0000 0.0000 5.1469
Au 0.0000 2.2010 9.0784
Au 2.2010 0.0000 1.2155
Au 2.2010 2.2010 5.1469
```

## Properties
- Calculated formation energy: -0.526 eV per atom
- Calculated total energy: -0.316 Ry per atom

Record 4
Density functional theory data (PBE) for crystalline Ac3Cu2PtO9 at its relaxed geometry.

Cell and atoms, written as extended XYZ:
```
15
Lattice="5.6498 0.0000 0.0000 -2.8249 4.8928 0.0000 0.0000 0.0000 6.9616" Properties=species:S:1:pos:R:3 pbc="T T T"
Ac 0.0000 0.0000 0.0000
Ac 0.0000 3.2619 4.6529
Ac 2.8249 1.6309 2.3087
Cu 0.0000 3.2619 1.0854
Cu 2.8249 1.6309 5.8762
Pt 0.0000 0.0000 3.4808
O -1.4124 2.4464 0.0000
O 0.0000 1.6465 2.3010
O -1.3990 4.0696 2.3010
O 1.4259 0.8233 4.6606
O 2.8249 0.0000 0.0000
O 1.4124 2.4464 0.0000
O 1.3990 4.0696 2.3010
O 4.2239 0.8233 4.6606
O 2.8249 3.2463 4.6606
```

## Properties
- Calculated total energy: -0.493 Ry per atom

Record 5
Density functional theory data (PBE) for crystalline SmHo2Si at its relaxed geometry.

Cell and atoms, written as extended XYZ:
```
12
Lattice="3.5510 0.0000 0.0000 -1.7755 3.0752 0.0000 0.0000 0.0000 32.6367" Properties=species:S:1:pos:R:3 pbc="T T T"
Sm 0.0000 0.0000 0.0000
Sm 0.0000 2.0501 21.7578
Sm 1.7755 1.0251 10.8789
Ho 0.0000 0.0000 3.4964
Ho 0.0000 0.0000 29.1403
Ho 0.0000 2.0501 18.2614
Ho 0.0000 2.0501 25.2543
Ho 1.7755 1.0251 7.3825
Ho 1.7755 1.0251 14.3753
Si 0.0000 0.0000 16.3184
Si 0.0000 2.0501 5.4395
Si 1.7755 1.0251 27.1973
```

## Properties
- Distance to the lowest polymorph of the same formula: 0.99 eV/f.u.
- Calculated total energy: -0.355 Ry per atom

Record 6
Density functional theory data (PBE) for crystalline SmEr14Zr at its relaxed geometry.

Cell and atoms, written as extended XYZ:
```
16
Lattice="11.0550 0.0000 0.0000 0.0000 3.5724 6.1872 0.0000 -3.5724 6.1872" Properties=species:S:1:pos:R:3 pbc="T T T"
Sm 0.0000 0.0000 0.0000
Er 0.0000 -1.7744 9.2877
Er 0.0000 1.7744 9.2877
Er 2.7028 0.0000 4.1623
Er 2.7200 -1.7550 7.2062
Er 2.7200 1.7550 7.2062
Er 2.8030 0.0000 10.3109
Er 5.5275 0.0000 0.0062
Er 5.5275 -1.7844 3.0937
Er 5.5275 1.7844 3.0937
Er 5.5275 0.0000 6.1907
Er 8.2520 0.0000 10.3109
Er 8.3349 -1.7550 7.2062
Er 8.3349 1.7550 7.2062
Er 8.3521 0.0000 4.1623
Zr 0.0000 0.0000 6.2026
```

## Properties
- Calculated formation energy: 0.019 eV per atom
- Calculated total energy: -0.353 Ry per atom

Record 7
Density functional theory data (PBE) for crystalline FeIrCl2 at its relaxed geometry.

Cell and atoms, written as extended XYZ:
```
4
Lattice="2.9239 0.0000 0.0000 0.0000 4.0616 0.0000 0.0000 0.0000 5.6075" Properties=species:S:1:pos:R:3 pbc="T T T"
Fe 0.0000 0.0000 0.0000
Ir 1.4619 0.0000 2.8037
Cl 0.0000 2.0308 2.8037
Cl 1.4619 2.0308 0.0000
```

## Properties
- Distance to the lowest polymorph of the same formula: 2.52 eV/f.u.
- Calculated total energy: -0.345 Ry per atom

Record 8
Density functional theory data (PBE) for crystalline TlPd4Au7 at its relaxed geometry.

Cell and atoms, written as extended XYZ:
```
12
Lattice="5.2744 -2.5696 0.0000 5.2744 2.5696 0.0000 -5.1928 0.0000 8.5564" Properties=species:S:1:pos:R:3 pbc="T T T"
Tl 0.0000 0.0000 0.0000
Pd -1.9815 0.0000 6.5721
Pd 0.7861 0.0000 5.8479
Pd 4.5698 0.0000 2.7085
Pd 7.3374 0.0000 1.9843
Au -1.1801 0.0000 3.8631
Au 2.6468 0.0000 0.7218
Au 1.6132 0.0000 3.2427
Au 5.2744 0.0000 0.0000
Au 3.7427 0.0000 5.3137
Au 2.7091 0.0000 7.8345
Au 6.5360 0.0000 4.6932
```

## Properties
- Calculated formation energy: 0.112 eV per atom
- Calculated total energy: -0.274 Ry per atom

Record 9
Density functional theory data (PBE) for crystalline LaHf2Sn2 at its relaxed geometry.

Cell and atoms, written as extended XYZ:
```
10
Lattice="4.8786 0.0000 0.0000 0.0000 4.8786 0.0000 0.0000 0.0000 11.8803" Properties=species:S:1:pos:R:3 pbc="T T T"
La 0.0000 0.0000 0.0000
La 2.4393 2.4393 5.9402
Hf 0.0000 0.0000 4.5633
Hf 0.0000 0.0000 7.3170
Hf 2.4393 2.4393 1.3768
Hf 2.4393 2.4393 10.5035
Sn 0.0000 2.4393 2.9701
Sn 0.0000 2.4393 8.9102
Sn 2.4393 0.0000 2.9701
Sn 2.4393 0.0000 8.9102
```

## Properties
- Calculated formation energy: 0.041 eV per atom
- Distance to the lowest polymorph of the same formula: 2.36 eV/f.u.
- Calculated total energy: -0.480 Ry per atom

Record 10
Density functional theory data (PBE) for crystalline BaMnRu4 at its relaxed geometry.

Cell and atoms, written as extended XYZ:
```
6
Lattice="0.0000 3.8132 3.8132 3.8132 0.0000 3.8132 3.8132 3.8132 0.0000" Properties=species:S:1:pos:R:3 pbc="T T T"
Ba 0.0000 0.0000 0.0000
Mn 5.7198 5.7198 5.7198
Ru 2.8674 2.8674 2.8674
Ru 4.7591 4.7591 2.8674
Ru 4.7591 2.8674 4.7591
Ru 2.8674 4.7591 4.7591
```

## Properties
- Calculated formation energy: 0.721 eV per atom
- Calculated total energy: -0.537 Ry per atom

Record 11
Density functional theory data (PBE) for crystalline DyPa4Se5 at its relaxed geometry.

Cell and atoms, written as extended XYZ:
```
10
Lattice="1.9827 1.1447 17.4771 -1.9827 1.1447 17.4771 0.0000 -2.2894 17.4771" Properties=species:S:1:pos:R:3 pbc="T T T"
Dy 0.0000 0.0000 0.0000
Pa 0.0000 0.0000 10.4847
Pa 0.0000 0.0000 20.9949
Pa 0.0000 0.0000 31.4365
Pa 0.0000 0.0000 41.9467
Se 0.0000 0.0000 5.2560
Se 0.0000 0.0000 15.7636
Se 0.0000 0.0000 26.2157
Se 0.0000 0.0000 36.6678
Se 0.0000 0.0000 47.1754
```

## Properties
- Calculated total energy: -0.537 Ry per atom

Record 12
Density functional theory data (PBE) for crystalline LaZnSn at its relaxed geometry.

Cell and atoms, written as extended XYZ:
```
12
Lattice="4.6266 0.0000 0.0000 -2.3133 4.0067 0.0000 0.0000 0.0000 17.0830" Properties=species:S:1:pos:R:3 pbc="T T T"
La 0.0000 0.0000 0.0000
La 0.0000 0.0000 4.2707
La 0.0000 0.0000 8.5415
La 0.0000 0.0000 12.8122
Zn 0.0000 2.6712 2.6710
Zn 0.0000 2.6712 5.8704
Zn 2.3133 1.3356 11.2125
Zn 2.3133 1.3356 14.4119
Sn 0.0000 2.6712 10.5279
Sn 0.0000 2.6712 15.0966
Sn 2.3133 1.3356 1.9864
Sn 2.3133 1.3356 6.5551
```

## Properties
- Calculated formation energy: -0.673 eV per atom
- Calculated total energy: -0.299 Ry per atom

Record 13
Density functional theory data (PBE) for crystalline Cs2AgSeCl at its relaxed geometry.

Cell and atoms, written as extended XYZ:
```
5
Lattice="6.9894 0.0000 0.0000 0.0000 6.9894 0.0000 0.0000 0.0000 4.8936" Properties=species:S:1:pos:R:3 pbc="T T T"
Cs 0.0000 3.4947 0.0000
Cs 3.4947 0.0000 0.0000
Ag 0.0000 0.0000 2.4468
Se 0.0000 0.0000 0.0000
Cl 3.4947 3.4947 2.4468
```

## Properties
- Calculated total energy: -0.219 Ry per atom

Record 14
Density functional theory data (PBE) for crystalline Fe2MoBr at its relaxed geometry.

Cell and atoms, written as extended XYZ:
```
4
Lattice="4.5004 0.0000 0.0000 0.0000 4.5004 0.0000 0.0000 0.0000 2.9282" Properties=species:S:1:pos:R:3 pbc="T T T"
Fe 0.0000 2.2502 0.0000
Fe 2.2502 0.0000 0.0000
Mo 0.0000 0.0000 1.4641
Br 2.2502 2.2502 1.4641
```

## Properties
- Distance to the lowest polymorph of the same formula: 1.96 eV/f.u.
- Calculated total energy: -0.473 Ry per atom

Record 15
Density functional theory data (PBE) for crystalline Ca4ScU3As8 at its relaxed geometry.

Cell and atoms, written as extended XYZ:
```
16
Lattice="7.1430 -4.1229 0.0000 7.1430 4.1229 0.0000 -4.7647 0.0000 6.8346" Properties=species:S:1:pos:R:3 pbc="T T T"
Ca 0.0000 0.0000 0.0000
Ca 3.5715 2.0614 0.0000
Ca 3.5715 -2.0614 0.0000
Ca 7.1430 0.0000 0.0000
Sc -2.3823 0.0000 3.4173
U 1.1892 2.0614 3.4173
U 1.1892 -2.0614 3.4173
U 4.7607 0.0000 3.4173
As -0.0208 0.0000 4.9727
As 3.5763 2.0771 4.9651
As 2.3732 0.0000 1.8298
As 5.9450 2.0771 1.8695
As 3.5763 -2.0771 4.9651
As 7.1481 0.0000 5.0048
As 5.9450 -2.0771 1.8695
As 9.5421 0.0000 1.8619
```

## Properties
- Calculated formation energy: -1.044 eV per atom
- Calculated total energy: -0.469 Ry per atom

Record 16
Density functional theory data (PBE) for crystalline UMnZnRu at its relaxed geometry.

Cell and atoms, written as extended XYZ:
```
16
Lattice="6.3651 0.0000 0.0000 0.0000 6.3651 0.0000 0.0000 0.0000 6.3651" Properties=species:S:1:pos:R:3 pbc="T T T"
U 0.0000 0.0000 0.0000
U 0.0000 3.1825 3.1825
U 3.1825 0.0000 3.1825
U 3.1825 3.1825 0.0000
Mn 1.5913 1.5913 4.7738
Mn 1.5913 4.7738 1.5913
Mn 4.7738 1.5913 1.5913
Mn 4.7738 4.7738 4.7738
Zn 0.0000 0.0000 3.1825
Zn 0.0000 3.1825 0.0000
Zn 3.1825 0.0000 0.0000
Zn 3.1825 3.1825 3.1825
Ru 1.5913 1.5913 1.5913
Ru 1.5913 4.7738 4.7738
Ru 4.7738 1.5913 4.7738
Ru 4.7738 4.7738 1.5913
```

## Properties
- Calculated formation energy: -0.009 eV per atom
- Calculated total energy: -0.570 Ry per atom

Record 17
Density functional theory data (PBE) for crystalline TlAsBr2 at its relaxed geometry.

Cell and atoms, written as extended XYZ:
```
4
Lattice="3.8197 0.0000 0.0000 -0.0006 4.4287 0.0000 -1.8567 -0.6489 8.2607" Properties=species:S:1:pos:R:3 pbc="T T T"
Tl 0.0000 0.0000 0.0000
As 0.0540 1.5624 7.4939
Br 0.0564 1.0379 5.1886
Br 1.9096 3.5275 2.0857
```

## Properties
- Distance to the lowest polymorph of the same formula: 0.22 eV/f.u.
- Calculated total energy: -0.206 Ry per atom

Record 18
Density functional theory data (PBE) for crystalline LuIn3 at its relaxed geometry.

Cell and atoms, written as extended XYZ:
```
4
Lattice="4.6052 0.0000 0.0000 0.0000 4.6052 0.0000 0.0000 0.0000 4.6052" Properties=species:S:1:pos:R:3 pbc="T T T"
Lu 0.0000 0.0000 0.0000
In 0.0000 2.3026 2.3026
In 2.3026 0.0000 2.3026
In 2.3026 2.3026 0.0000
```

## Properties
- Calculated formation energy: -0.332 eV per atom
- Calculated total energy: -0.258 Ry per atom

Record 19
Density functional theory data (PBE) for crystalline Ba4CaTl at its relaxed geometry.

Cell and atoms, written as extended XYZ:
```
12
Lattice="5.5255 -8.0554 0.0000 5.5255 8.0554 0.0000 -2.4553 0.0000 7.3099" Properties=species:S:1:pos:R:3 pbc="T T T"
Ba 2.0051 5.3190 6.9402
Ba 1.4927 1.4908 4.5552
Ba 5.3630 5.3190 4.0247
Ba 2.7203 -1.4908 0.9002
Ba 5.8754 1.4908 6.4097
Ba 3.2327 -5.3190 3.2852
Ba 7.1031 -1.4908 2.7548
Ba 6.5907 -5.3190 0.3697
Ca 4.9117 1.7940 1.8275
Ca 3.6840 -1.7940 5.4824
Tl 3.6840 8.0450 5.4824
Tl 4.9117 -8.0450 1.8275
```

## Properties
- Calculated formation energy: -0.086 eV per atom
- Distance to the lowest polymorph of the same formula: 0.25 eV/f.u.
- Calculated total energy: -0.154 Ry per atom

Record 20
Density functional theory data (PBE) for crystalline Co5Cl3 at its relaxed geometry.

Cell and atoms, written as extended XYZ:
```
16
Lattice="6.1892 0.0000 0.0000 0.0000 8.3537 0.0000 0.0000 0.0000 4.2005" Properties=species:S:1:pos:R:3 pbc="T T T"
Co 0.0000 0.0000 0.0000
Co 1.2435 0.0000 2.1002
Co 1.5473 2.0884 0.0000
Co 1.5473 6.2653 0.0000
Co 1.8512 4.1769 2.1002
Co 3.0946 4.1769 0.0000
Co 4.3381 4.1769 2.1002
Co 4.6419 2.0884 0.0000
Co 4.6419 6.2653 0.0000
Co 4.9458 0.0000 2.1002
Cl 0.0000 1.9683 2.1002
Cl 0.0000 4.1769 0.0000
Cl 0.0000 6.3854 2.1002
Cl 3.0946 0.0000 0.0000
Cl 3.0946 2.2086 2.1002
Cl 3.0946 6.1452 2.1002
```

## Properties
- Calculated total energy: -0.332 Ry per atom

Record 21
Density functional theory data (PBE) for crystalline NdPd2Pb at its relaxed geometry.

Cell and atoms, written as extended XYZ:
```
16
Lattice="7.0276 0.0000 0.0000 0.0000 7.0276 0.0000 0.0000 0.0000 7.0276" Properties=species:S:1:pos:R:3 pbc="T T T"
Nd 0.0000 0.0000 0.0000
Nd 0.0000 3.5138 3.5138
Nd 3.5138 0.0000 3.5138
Nd 3.5138 3.5138 0.0000
Pd 1.7569 1.7569 1.7569
Pd 1.7569 1.7569 5.2707
Pd 1.7569 5.2707 1.7569
Pd 1.7569 5.2707 5.2707
Pd 5.2707 1.7569 1.7569
Pd 5.2707 1.7569 5.2707
Pd 5.2707 5.2707 1.7569
Pd 5.2707 5.2707 5.2707
Pb 0.0000 0.0000 3.5138
Pb 0.0000 3.5138 0.0000
Pb 3.5138 0.0000 0.0000
Pb 3.5138 3.5138 3.5138
```

## Properties
- Calculated formation energy: -0.633 eV per atom
- Calculated total energy: -0.393 Ry per atom

Record 22
Density functional theory data (PBE) for crystalline BaLaRu at its relaxed geometry.

Cell and atoms, written as extended XYZ:
```
6
Lattice="3.6460 0.0000 0.0000 0.0000 3.6460 0.0000 0.0000 0.0000 14.9896" Properties=species:S:1:pos:R:3 pbc="T T T"
Ba 0.0000 0.0000 0.0000
Ba 1.8230 1.8230 7.4948
La 0.0000 0.0000 11.4064
La 1.8230 1.8230 3.9116
Ru 0.0000 0.0000 5.3396
Ru 1.8230 1.8230 12.8344
```

## Properties
- Calculated formation energy: 0.082 eV per atom
- Distance to the lowest polymorph of the same formula: 0.10 eV/f.u.
- Calculated total energy: -0.389 Ry per atom

Record 23
Density functional theory data (PBE) for crystalline SrTe2F at its relaxed geometry.

Cell and atoms, written as extended XYZ:
```
12
Lattice="5.1931 0.0000 0.0000 -2.5966 4.4974 0.0000 0.0000 0.0000 15.6852" Properties=species:S:1:pos:R:3 pbc="T T T"
Sr 0.0000 0.0000 0.0000
Sr 0.0000 2.9983 10.4568
Sr 2.5966 1.4991 5.2284
Te 0.0000 0.0000 3.1254
Te 0.0000 0.0000 12.5597
Te 0.0000 2.9983 7.3314
Te 0.0000 2.9983 13.5822
Te 2.5966 1.4991 2.1030
Te 2.5966 1.4991 8.3538
F 0.0000 0.0000 7.8426
F 0.0000 2.9983 2.6142
F 2.5966 1.4991 13.0710
```

## Properties
- Distance to the lowest polymorph of the same formula: 2.10 eV/f.u.
- Calculated total energy: -0.254 Ry per atom

Record 24
Density functional theory data (PBE) for crystalline NaMn3As at its relaxed geometry.

Cell and atoms, written as extended XYZ:
```
5
Lattice="4.6808 0.0000 0.0000 0.0000 4.6808 0.0000 0.0000 0.0000 4.6808" Properties=species:S:1:pos:R:3 pbc="T T T"
Na 0.0000 0.0000 0.0000
Mn 0.0000 0.0000 2.3404
Mn 0.0000 2.3404 0.0000
Mn 2.3404 0.0000 0.0000
As 2.3404 2.3404 2.3404
```

## Properties
- Calculated formation energy: 1.587 eV per atom
- Distance to the lowest polymorph of the same formula: 5.19 eV/f.u.
- Calculated total energy: -0.375 Ry per atom